Here is a relaxed La6Y4Tm crystal from Alexandria. Energies are from GGA-PBE.

```
La6Y4Tm
1.0
-3.500 3.500 8.039
3.500 -3.500 8.039
3.500 3.500 -8.039
La Y Tm
6 4 1
Direct
0.000 0.500 0.500
0.011 0.627 0.000
0.373 0.373 0.384
0.500 0.000 0.500
0.627 0.011 0.000
0.989 0.989 0.616
0.227 0.227 0.660
0.433 0.773 0.000
0.567 0.567 0.340
0.773 0.433 0.000
0.000 0.000 0.000
```

Summary:
**Uncorrected energy**: -5.16 eV/atom
**Energy relative to the elements**: 0.284 eV/atom
**Energy above the lowest structure with this stoichiometry**: 177.8 meV per atom

=====

Here is a relaxed La2YTm4 crystal from Alexandria. Energies are from GGA-PBE.

```
La2YTm4
1.0
7.095 0.000 0.000
-1.793 8.478 0.000
-1.805 -4.109 7.607
La Y Tm
4 2 8
Direct
0.000 0.000 0.000
0.063 0.729 0.577
0.187 0.333 0.454
0.485 0.995 0.997
0.401 0.461 0.158
0.712 0.154 0.719
0.098 0.558 0.866
0.214 0.158 0.726
0.296 0.887 0.324
0.574 0.734 0.589
0.600 0.555 0.863
0.686 0.329 0.450
0.792 0.889 0.321
0.891 0.450 0.148
```

Summary:
**Uncorrected energy**: -4.84 eV/atom
**Energy relative to the elements**: 0.050 eV/atom
**Energy above the lowest structure with this stoichiometry**: 0.0 meV per atom

=====

Here is a relaxed La2Y12Tm5 crystal from Alexandria. Energies are from GGA-PBE.

```
La2Y12Tm5
1.0
7.871 -4.657 0.000
7.871 4.657 0.000
-0.136 0.000 8.547
La Y Tm
2 12 5
Direct
0.186 0.814 0.000
0.814 0.186 0.000
0.059 0.059 0.325
0.066 0.682 0.353
0.162 0.522 0.757
0.318 0.934 0.647
0.406 0.406 0.120
0.478 0.838 0.243
0.522 0.162 0.757
0.594 0.594 0.880
0.682 0.066 0.353
0.838 0.478 0.243
0.934 0.318 0.647
0.941 0.941 0.675
0.197 0.197 0.008
0.268 0.268 0.422
0.500 0.500 0.500
0.732 0.732 0.578
0.803 0.803 0.992
```

Summary:
**Uncorrected energy**: -5.64 eV/atom
**Energy relative to the elements**: 0.140 eV/atom
**Energy above the lowest structure with this stoichiometry**: 111.1 meV per atom

=====

Here is a relaxed La3Y2Tm2 crystal from Alexandria. Energies are from GGA-PBE.

```
La3Y2Tm2
1.0
17.781 0.000 0.000
0.000 3.514 0.000
-4.117 0.000 7.578
La Y Tm
6 4 4
Direct
0.000 0.000 0.000
0.214 0.000 0.292
0.286 0.500 0.708
0.500 0.500 0.000
0.714 0.500 0.292
0.786 0.000 0.708
0.065 0.500 0.412
0.435 0.000 0.588
0.565 0.000 0.412
0.935 0.500 0.588
0.141 0.000 0.821
0.359 0.500 0.179
0.641 0.500 0.821
0.859 0.000 0.179
```

Summary:
**Uncorrected energy**: -5.12 eV/atom
**Energy relative to the elements**: 0.117 eV/atom
**Energy above the lowest structure with this stoichiometry**: 89.1 meV per atom

=====

Here is a relaxed LaY4Tm6 crystal from Alexandria. Energies are from GGA-PBE.

```
LaY4Tm6
1.0
2.819 -4.863 0.000
2.819 4.863 0.000
0.000 0.000 25.555
La Y Tm
2 8 12
Direct
0.170 0.830 0.750
0.830 0.170 0.250
0.166 0.834 0.041
0.166 0.834 0.459
0.497 0.503 0.122
0.497 0.503 0.378
0.503 0.497 0.622
0.503 0.497 0.878
0.834 0.166 0.541
0.834 0.166 0.959
0.163 0.837 0.181
0.163 0.837 0.319
0.169 0.831 0.601
0.169 0.831 0.899
0.496 0.504 0.250
0.500 0.500 0.000
0.500 0.500 0.500
0.504 0.496 0.750
0.831 0.169 0.101
0.831 0.169 0.399
0.837 0.163 0.681
0.837 0.163 0.819
```

Summary:
**Uncorrected energy**: -5.12 eV/atom
**Energy relative to the elements**: 0.118 eV/atom
**Energy above the lowest structure with this stoichiometry**: 0.0 meV per atom

=====

Here is a relaxed LaY15Tm4 crystal from Alexandria. Energies are from GGA-PBE.

```
LaY15Tm4
1.0
5.039 0.000 0.000
0.000 5.039 0.000
0.000 0.000 25.237
La Y Tm
1 15 4
Direct
0.000 0.000 0.000
0.000 0.500 0.103
0.000 0.500 0.301
0.000 0.500 0.500
0.000 0.500 0.699
0.000 0.500 0.897
0.500 0.000 0.103
0.500 0.000 0.301
0.500 0.000 0.500
0.500 0.000 0.699
0.500 0.000 0.897
0.500 0.500 0.000
0.500 0.500 0.203
0.500 0.500 0.401
0.500 0.500 0.599
0.500 0.500 0.797
0.000 0.000 0.202
0.000 0.000 0.401
0.000 0.000 0.599
0.000 0.000 0.798
```

Summary:
**Uncorrected energy**: -5.96 eV/atom
**Energy relative to the elements**: 0.029 eV/atom

=====

Here is a relaxed La5YTm6 crystal from Alexandria. Energies are from GGA-PBE.

```
La5YTm6
1.0
8.836 -3.673 0.000
8.836 3.673 0.000
-0.332 0.000 6.115
La Y Tm
5 1 6
Direct
0.000 0.000 0.000
0.167 0.167 0.668
0.336 0.336 0.333
0.664 0.664 0.667
0.833 0.833 0.332
0.500 0.500 0.000
0.084 0.584 0.831
0.251 0.749 0.500
0.416 0.916 0.169
0.584 0.084 0.831
0.749 0.251 0.500
0.916 0.416 0.169
```

Summary:
**Uncorrected energy**: -4.80 eV/atom
**Energy relative to the elements**: 0.030 eV/atom

=====

Here is a relaxed La2Y6Tm3 crystal from Alexandria. Energies are from GGA-PBE.

```
La2Y6Tm3
1.0
3.063 -5.310 0.000
3.063 5.310 0.000
-2.059 0.000 11.637
La Y Tm
2 6 3
Direct
0.167 0.833 0.000
0.833 0.167 0.000
0.082 0.415 0.743
0.252 0.252 0.257
0.415 0.082 0.743
0.585 0.918 0.257
0.748 0.748 0.743
0.918 0.585 0.257
0.000 0.000 0.500
0.334 0.666 0.500
0.666 0.334 0.500
```

Summary:
**Uncorrected energy**: -5.45 eV/atom
**Energy relative to the elements**: 0.188 eV/atom

=====

Here is a relaxed La9YTm2 crystal from Alexandria. Energies are from GGA-PBE.

```
La9YTm2
1.0
5.195 0.000 0.000
0.000 5.195 0.000
0.000 0.000 15.584
La Y Tm
9 1 2
Direct
0.000 0.000 0.000
0.000 0.000 0.334
0.000 0.000 0.666
0.000 0.500 0.168
0.000 0.500 0.500
0.000 0.500 0.832
0.500 0.000 0.168
0.500 0.000 0.500
0.500 0.000 0.832
0.500 0.500 0.000
0.500 0.500 0.334
0.500 0.500 0.666
```

Summary:
**Uncorrected energy**: -4.97 eV/atom
**Energy relative to the elements**: 0.006 eV/atom

=====

Here is a relaxed LaY7Tm5 crystal from Alexandria. Energies are from GGA-PBE.

```
LaY7Tm5
1.0
-3.317 5.615 5.790
3.317 -5.615 5.790
3.317 5.615 -5.790
La Y Tm
1 7 5
Direct
0.000 0.000 0.000
0.227 0.560 0.668
0.295 0.295 0.000
0.380 0.056 0.324
0.610 0.610 0.000
0.733 0.056 0.676
0.796 0.296 0.500
0.892 0.560 0.332
0.038 0.043 0.470
0.038 0.568 0.995
0.316 0.816 0.500
0.573 0.043 0.005
0.573 0.568 0.530
```

Summary:
**Uncorrected energy**: -5.34 eV/atom
**Energy relative to the elements**: 0.237 eV/atom

=====

Here is a relaxed La3YTm2 crystal from Alexandria. Energies are from GGA-PBE.

```
La3YTm2
1.0
6.678 -1.778 0.000
6.678 1.778 0.000
-3.878 0.000 17.454
La Y Tm
6 2 4
Direct
0.066 0.066 0.169
0.268 0.268 0.661
0.374 0.374 0.011
0.626 0.626 0.989
0.732 0.732 0.339
0.934 0.934 0.831
0.457 0.457 0.320
0.543 0.543 0.680
0.198 0.198 0.834
0.368 0.368 0.498
0.632 0.632 0.502
0.802 0.802 0.166
```

Summary:
**Uncorrected energy**: -4.92 eV/atom
**Energy relative to the elements**: 0.116 eV/atom
**Energy above the lowest structure with this stoichiometry**: 0.0 meV per atom

=====

Here is a relaxed La8YTm2 crystal from Alexandria. Energies are from GGA-PBE.

```
La8YTm2
1.0
4.635 -8.407 0.000
4.635 8.407 0.000
-3.419 0.000 5.026
La Y Tm
8 1 2
Direct
0.095 0.336 0.685
0.207 0.793 0.000
0.336 0.095 0.685
0.422 0.422 0.201
0.578 0.578 0.799
0.664 0.905 0.315
0.793 0.207 0.000
0.905 0.664 0.315
0.000 0.000 0.000
0.312 0.688 0.500
0.688 0.312 0.500
```

Summary:
**Uncorrected energy**: -4.86 eV/atom
**Energy relative to the elements**: 0.124 eV/atom
**Energy above the lowest structure with this stoichiometry**: 19.2 meV per atom